DFT (meta-GGA SCAN) results for a PBEsol-optimized structure of NiIrPt2.

abc: 2.724 2.724 7.354
angles: 90.00 90.00 90.00
Site moments in Bohr magnetons follow the coordinates.
Element x y z (fractional)
1 Ni 0.500 0.500 0.500  0.88
2 Ir 0.500 0.500 0.000  -0.11
3 Pt 0.000 0.000 0.737  0.16
4 Pt 0.000 0.000 0.263  0.16

Values from the calculation:
- magnetization (μB/f.u.) = 1.035
- DOS at the Fermi energy (states/eV/f.u.) = 4.174
- final energy (eV/cell) = -227.61
- calculated density (g cm⁻³) = 19.5
- formation energy from the elements (eV/atom) = 0.013

=====

DFT (meta-GGA SCAN) results for a PBEsol-optimized structure of LiAl.

abc: 4.466 4.466 4.466
angles: 60.00 60.00 60.00
Element x y z (fractional)
1 Al 0.000 0.000 0.000
2 Al 0.250 0.250 0.250
3 Li 0.500 0.500 0.500
4 Li 0.750 0.750 0.750

Values from the calculation:
- magnetization (μB/f.u.) = 0.000
- DOS at the Fermi energy (states/eV/f.u.) = 0.228
- final energy (eV/cell) = -21.04
- calculated density (g cm⁻³) = 1.8
- formation energy from the elements (eV/atom) = -0.190